No. 1
Entry from Alexandria: a relaxed CaAc2Tb crystal (PBE-GGA).

Relative energy among the computed polymorphs (meV per atom): 35
Density of states at the Fermi level (states/eV per atom): 1.3880
Energy relative to the elements (eV per atom): 0.08

a = 5.6377 Å, b = 5.6377 Å, c = 5.0578 Å
α = 90.00°, β = 90.00°, γ = 90.00°
With the nearest neighbours (Å) after each atom.
Space group P4/mmm (No. 123)
Unique sites:
Ca1 0.0000 0.0000 0.0000 [1 per cell]  8 Ac 3.79, 4 Tb 3.99
Ac1 0.0000 0.5000 0.5000 [2 per cell]  4 Tb 3.79, 4 Ca 3.79, 4 Ac 3.99
Tb1 0.5000 0.5000 0.0000 [1 per cell]  8 Ac 3.79, 4 Ca 3.99

=====

No. 2
Entry from Alexandria: a relaxed CaAc2Tb crystal (PBE-GGA).

Relative energy among the computed polymorphs (meV per atom): 2
Density of states at the Fermi level (states/eV per atom): 1.6112
Energy relative to the elements (eV per atom): 0.04

a = 3.8988 Å, b = 3.8988 Å, c = 10.7551 Å
α = 90.00°, β = 90.00°, γ = 90.00°
With the nearest neighbours (Å) after each atom.
Space group P4/mmm (No. 123)
Unique sites:
Ca1 0.0000 0.0000 0.0000 [1 per cell]  4 Ca 3.90, 8 Ac 3.97
Ac1 0.5000 0.5000 0.2650 [2 per cell]  4 Tb 3.74, 4 Ac 3.90, 4 Ca 3.97
Tb1 0.0000 0.0000 0.5000 [1 per cell]  8 Ac 3.74, 4 Tb 3.90